5
Lattice="5.394 0.000 0.000 0.000 5.394 0.000 0.000 0.000 5.394" Properties=species:S:1:pos:R:3 comment="SCAN YHg3Br, single point on PBEsol structure" crystal_system=cubic spacegroup="No. 221" magnetic_moment_mub_per_fu=0.000 e_form_raw_ev_per_atom=0.554 pbc="T T T"
Y 0.000 0.000 0.000
Hg 0.000 2.697 2.697
Hg 2.697 0.000 2.697
Hg 2.697 2.697 0.000
Br 2.697 2.697 2.697